Zr4CrSi, single point on PBEsol structure, DFT SCAN; energy relative to the elements, uncorrected = 0.548 eV/atom; space group = F-43m, No. 216
1.0
5.520 0.000 0.000
2.760 4.780 0.000
2.760 1.593 4.507
Zr Si Cr
4 1 1
direct
0.873 0.376 0.376
0.376 0.376 0.873
0.376 0.376 0.376
0.376 0.873 0.376
0.000 0.000 0.000
0.750 0.750 0.750